Material: CsTbCr2O8
Method: DFT, PBE with a Hubbard U
State: optimized geometry

Space-group type: P-3 (147)
Magnetic moment (μB/f.u.): 0.000
Calculated density (g/cm3): 3.48
E (eV/atom): -6.93

Geometry as POSCAR:
```
CsTbCr2O8
1.0
5.839 0.000 0.000
-2.920 5.057 0.000
0.000 0.000 8.473
Cs Tb Cr O
1 1 2 8
Direct
0.000 0.000 0.000 Cs
0.000 0.000 0.500 Tb
0.333 0.667 0.729 Cr
0.667 0.333 0.271 Cr
0.173 0.353 0.664 O
0.180 0.827 0.664 O
0.333 0.667 0.920 O
0.353 0.180 0.336 O
0.647 0.820 0.664 O
0.667 0.333 0.080 O
0.820 0.173 0.336 O
0.827 0.647 0.336 O
```